[1]
This record from Alexandria via LeMat-Bulk describes an optimized crystal structure of BaHf2AgC. The functional is PBE.

Cell lengths 5.5797, 3.9390, 5.5797 Å; angles 90.00, 90.00, 90.00 degrees
Fractional positions:
C 0.0000 0.5000 0.0000
Hf 0.0000 0.0000 0.5000
Hf 0.5000 0.0000 0.0000
Ba 0.5000 0.5000 0.5000
Ag 0.0000 0.0000 0.0000

The formation energy comes out at 1667 meV/atom.

[2]
This record from Alexandria via LeMat-Bulk describes an optimized crystal structure of SrAc2Sm. The functional is PBE.

Cell lengths 3.9569, 3.9569, 11.1733 Å; angles 90.00, 90.00, 90.00 degrees
Fractional positions:
Sr 0.5000 0.5000 0.5000
Sm 0.5000 0.5000 0.0000
Ac 0.0000 0.0000 0.7748
Ac 0.0000 0.0000 0.2252

The formation energy comes out at 54 meV/atom. As for the excess energy over the best structure of this formula in the dataset: 0 meV per atom.

[3]
This record from Alexandria via LeMat-Bulk describes an optimized crystal structure of NdHoTmSc. The functional is PBE.

Cell lengths 3.5145, 3.5156, 11.4375 Å; angles 90.00, 98.81, 120.00 degrees
Fractional positions:
Sc 0.1332 0.9647 0.1123
Nd 0.9651 0.3808 0.3611
Ho 0.3064 0.5510 0.8734
Tm 0.4732 0.1342 0.6230

The formation energy comes out at 56 meV/atom. As for the excess energy over the best structure of this formula in the dataset: 0 meV per atom.

[4]
This record from Alexandria via LeMat-Bulk describes an optimized crystal structure of SrSi2Se. The functional is PBE.

Cell lengths 3.9735, 4.5621, 6.5555 Å; angles 69.60, 90.00, 90.00 degrees
Fractional positions:
Si 0.0000 0.1568 0.0612
Si 0.5000 0.0568 0.2612
Sr 0.0000 0.4216 0.5320
Se 0.5000 0.8647 0.6456

The formation energy without anion corrections is -1.843 eV/f.u.

[5]
This record from Alexandria via LeMat-Bulk describes an optimized crystal structure of BaAlAsSe2. The functional is PBE.

Cell lengths 6.1454, 6.1454, 6.2404 Å; angles 90.00, 90.00, 90.00 degrees
Site moments in Bohr magnetons follow the coordinates.
Fractional positions:
As 0.0000 0.0000 0.5000  0.81
Se 0.0000 0.5000 0.0000  0.42
Se 0.5000 0.0000 0.0000  0.42
Al 0.5000 0.5000 0.5000  0.00
Ba 0.0000 0.0000 0.0000  0.03

As for the excess energy over the best structure of this formula in the dataset: 1347 meV per atom. The formation energy without anion corrections is 2.857 eV/f.u.

[6]
This record from Alexandria via LeMat-Bulk describes an optimized crystal structure of TaReNO2. The functional is PBE.

Cell lengths 3.9197, 3.9197, 4.2650 Å; angles 90.00, 90.00, 90.00 degrees
Site moments in Bohr magnetons follow the coordinates.
Fractional positions:
O 0.5000 0.0000 0.0000  0.12
O 0.0000 0.5000 0.0000  0.12
N 0.0000 0.0000 0.5000  0.01
Re 0.5000 0.5000 0.5000  3.85
Ta 0.0000 0.0000 0.0000  -0.02

The formation energy without anion corrections is -1.518 eV/f.u.

| no. | total DFT energy (no corrections) (eV/atom) | D(E_F) (states/eV per atom) |
| --- | --- | --- |
| 1 | -5.11 | 1.658 |
| 2 | -3.60 | 1.479 |
| 3 | -4.98 | 1.493 |
| 4 | -4.46 | 0.222 |
| 5 | -2.89 | 1.142 |
| 6 | -8.81 | 0.227 |